## i
The following is a PBE calculation of a relaxed structure of TaWCl3, from Alexandria.

Unit cell a=4.9169 b=4.9169 c=4.9169 alpha=90.00 beta=90.00 gamma=90.00
Space group Pm-3m (No. 221)
Unique sites:
Ta 0.0000 0.0000 0.0000 x1
W 0.5000 0.5000 0.5000 x1
Cl 0.0000 0.0000 0.5000 x3

- ρ: 6.58 g cm⁻³
- Magnetic moment: 4.77 μB per formula unit

## ii
The following is a PBE calculation of a relaxed structure of TaWCl3, from Alexandria.

Unit cell a=4.8508 b=4.8508 c=4.8508 alpha=90.00 beta=90.00 gamma=90.00
Space group Pm-3m (No. 221)
Unique sites:
Ta 0.0000 0.0000 0.0000 x1
W 0.5000 0.5000 0.5000 x1
Cl 0.0000 0.5000 0.5000 x3

- ρ: 6.85 g cm⁻³
- Magnetic moment: 5.57 μB per formula unit

Of them, i has the highest stability.

## i
The following is a PBE calculation of a relaxed structure of YTaCl3, from Alexandria.

Unit cell a=5.2997 b=5.2997 c=5.2997 alpha=90.00 beta=90.00 gamma=90.00
Space group Pm-3m (No. 221)
Unique sites:
Y 0.0000 0.0000 0.0000 x1
Ta 0.5000 0.5000 0.5000 x1
Cl 0.0000 0.0000 0.5000 x3

- ρ: 4.20 g cm⁻³
- Magnetic moment: 4.78 μB per formula unit

## ii
The following is a PBE calculation of a relaxed structure of YTaCl3, from Alexandria.

Unit cell a=4.8893 b=4.8893 c=4.8893 alpha=90.00 beta=90.00 gamma=90.00
Space group Pm-3m (No. 221)
Unique sites:
Y 0.0000 0.0000 0.0000 x1
Ta 0.5000 0.5000 0.5000 x1
Cl 0.0000 0.5000 0.5000 x3

- ρ: 5.34 g cm⁻³
- Magnetic moment: 2.29 μB per formula unit

Of them, i has the highest stability.